# 1
Crystalline KTiRu2 at its relaxed geometry, computed with PBE-GGA.

a b c (Å): 5.0112 5.0112 16.4979
angles (deg): 90.00 90.00 90.00
Last column: nearest neighbours and their distance in Å.
Fractional coordinates of all 16 atoms:
K: 0.0000 0.0000 0.0000  8 Ru 3.41-3.55, 4 Ti 3.54
K: 0.0000 0.5000 0.2500  8 Ru 3.41-3.55, 4 Ti 3.54
K: 0.5000 0.0000 0.7500  8 Ru 3.41-3.55, 4 Ti 3.54
K: 0.5000 0.5000 0.5000  8 Ru 3.41-3.55, 4 Ti 3.54
Ti: 0.0000 0.0000 0.5000  4 Ru 2.42
Ti: 0.0000 0.5000 0.7500  4 Ru 2.42
Ti: 0.5000 0.0000 0.2500  4 Ru 2.42
Ti: 0.5000 0.5000 0.0000  4 Ru 2.42
Ru: 0.0205 0.7500 0.6250  2 Ti 2.42, 2 Ru 2.51
Ru: 0.2500 0.0205 0.3750  2 Ti 2.42, 2 Ru 2.51
Ru: 0.2500 0.4795 0.8750  2 Ti 2.42, 2 Ru 2.51
Ru: 0.4795 0.7500 0.1250  2 Ti 2.42, 2 Ru 2.51
Ru: 0.5205 0.2500 0.1250  2 Ti 2.42, 2 Ru 2.51
Ru: 0.7500 0.5205 0.8750  2 Ti 2.42, 2 Ru 2.51
Ru: 0.7500 0.9795 0.3750  2 Ti 2.42, 2 Ru 2.51
Ru: 0.9795 0.2500 0.6250  2 Ti 2.42, 2 Ru 2.51

## Properties
- Calculated total energy: -5.84 eV per atom
- Magnetic moment: 0.00 μB/cell
- ΔE to the lowest computed polymorph: 113.1 meV/atom

=====

# 2
Crystalline KTiRu3 at its relaxed geometry, computed with PBE-GGA.

a b c (Å): 4.7206 4.7206 4.7206
angles (deg): 90.00 90.00 90.00
Last column: nearest neighbours and their distance in Å.
Fractional coordinates of all 5 atoms:
K: 0.0000 0.0000 0.0000  12 Ru 3.34
Ti: 0.5000 0.5000 0.5000  6 Ru 2.36
Ru: 0.0000 0.5000 0.5000  2 Ti 2.36
Ru: 0.5000 0.0000 0.5000  2 Ti 2.36
Ru: 0.5000 0.5000 0.0000  2 Ti 2.36

## Properties
- Calculated total energy: -6.15 eV per atom
- Magnetic moment: 3.51 μB/cell
- ΔE to the lowest computed polymorph: 0.0 meV/atom

=====

# 3
Crystalline KTi3Ru at its relaxed geometry, computed with PBE-GGA.

a b c (Å): 4.8842 4.8842 4.8842
angles (deg): 90.00 90.00 90.00
Last column: nearest neighbours and their distance in Å.
Fractional coordinates of all 5 atoms:
K: 0.0000 0.0000 0.0000  12 Ti 3.45
Ti: 0.0000 0.5000 0.5000  2 Ru 2.44
Ti: 0.5000 0.0000 0.5000  2 Ru 2.44
Ti: 0.5000 0.5000 0.0000  2 Ru 2.44
Ru: 0.5000 0.5000 0.5000  6 Ti 2.44

## Properties
- Calculated total energy: -6.23 eV per atom
- Magnetic moment: 1.44 μB/cell
- ΔE to the lowest computed polymorph: 0.0 meV/atom

=====

# 4
Crystalline K3TiRu at its relaxed geometry, computed with PBE-GGA.

a b c (Å): 5.9767 5.9767 5.9767
angles (deg): 90.00 90.00 90.00
Last column: nearest neighbours and their distance in Å.
Fractional coordinates of all 5 atoms:
K: 0.0000 0.0000 0.5000  2 Ru 2.99
K: 0.0000 0.5000 0.0000  2 Ru 2.99
K: 0.5000 0.0000 0.0000  2 Ru 2.99
Ti: 0.5000 0.5000 0.5000  12 K 4.23
Ru: 0.0000 0.0000 0.0000  6 K 2.99

## Properties
- Calculated total energy: -2.28 eV per atom
- Magnetic moment: 0.04 μB/cell
- ΔE to the lowest computed polymorph: 0.0 meV/atom

=====

# 5
Crystalline KTiRu2 at its relaxed geometry, computed with PBE-GGA.

a b c (Å): 6.4780 6.4780 6.4780
angles (deg): 90.00 90.00 90.00
Last column: nearest neighbours and their distance in Å.
Fractional coordinates of all 16 atoms:
K: 0.0000 0.0000 0.0000  8 Ru 2.81
K: 0.0000 0.5000 0.5000  8 Ru 2.81
K: 0.5000 0.0000 0.5000  8 Ru 2.81
K: 0.5000 0.5000 0.0000  8 Ru 2.81
Ti: 0.0000 0.0000 0.5000  8 Ru 2.81
Ti: 0.0000 0.5000 0.0000  8 Ru 2.81
Ti: 0.5000 0.0000 0.0000  8 Ru 2.81
Ti: 0.5000 0.5000 0.5000  8 Ru 2.81
Ru: 0.2500 0.2500 0.2500  4 K 2.81, 4 Ti 2.81
Ru: 0.2500 0.2500 0.7500  4 Ti 2.81, 4 K 2.81
Ru: 0.2500 0.7500 0.2500  4 Ti 2.81, 4 K 2.81
Ru: 0.2500 0.7500 0.7500  4 K 2.81, 4 Ti 2.81
Ru: 0.7500 0.2500 0.2500  4 Ti 2.81, 4 K 2.81
Ru: 0.7500 0.2500 0.7500  4 K 2.81, 4 Ti 2.81
Ru: 0.7500 0.7500 0.2500  4 K 2.81, 4 Ti 2.81
Ru: 0.7500 0.7500 0.7500  4 Ti 2.81, 4 K 2.81

## Properties
- Calculated total energy: -5.95 eV per atom
- Magnetic moment: 0.00 μB/cell
- ΔE to the lowest computed polymorph: 0.0 meV/atom

=====

# 6
Crystalline KTi3Ru at its relaxed geometry, computed with PBE-GGA.

a b c (Å): 4.4052 4.4052 4.4052
angles (deg): 90.00 90.00 90.00
Last column: nearest neighbours and their distance in Å.
Fractional coordinates of all 5 atoms:
K: 0.0000 0.0000 0.0000  6 Ti 2.20
Ti: 0.0000 0.0000 0.5000  2 K 2.20
Ti: 0.0000 0.5000 0.0000  2 K 2.20
Ti: 0.5000 0.0000 0.0000  2 K 2.20
Ru: 0.5000 0.5000 0.5000  12 Ti 3.11

## Properties
- Calculated total energy: -4.81 eV per atom
- Magnetic moment: 0.00 μB/cell
- ΔE to the lowest computed polymorph: 1419.1 meV/atom

=====

# 7
Crystalline KTiRuW2 at its relaxed geometry, computed with PBE-GGA.

a b c (Å): 4.5175 4.5175 4.2361
angles (deg): 90.00 90.00 90.00
Last column: nearest neighbours and their distance in Å.
Fractional coordinates of all 5 atoms:
K: 0.0000 0.0000 0.0000  2 Ti 2.12, 4 W 2.26
Ti: 0.0000 0.0000 0.5000  2 K 2.12
Ru: 0.5000 0.5000 0.5000  8 W 3.10, 4 Ti 3.19
W: 0.0000 0.5000 0.0000  2 K 2.26
W: 0.5000 0.0000 0.0000  2 K 2.26

## Properties
- Calculated total energy: -5.75 eV per atom
- Magnetic moment: 0.00 μB/cell

=====

# 8
Crystalline KTlRu2 at its relaxed geometry, computed with PBE-GGA.

a b c (Å): 2.8999 5.0000 6.5988
angles (deg): 90.00 96.18 90.00
Last column: nearest neighbours and their distance in Å.
Fractional coordinates of all 4 atoms:
K: 0.0000 0.0000 0.0000  2 K 2.90
Tl: 0.5000 0.0000 0.5000  4 Ru 2.82, 2 Tl 2.90
Ru: 0.2705 0.5000 0.6589  2 Ru 2.48-2.60
Ru: 0.7295 0.5000 0.3411  2 Ru 2.48-2.60

## Properties
- Calculated total energy: -4.54 eV per atom
- Magnetic moment: 2.02 μB/cell
- ΔE to the lowest computed polymorph: 474.6 meV/atom

=====

# 9
Crystalline KTlRu2 at its relaxed geometry, computed with PBE-GGA.

a b c (Å): 6.8285 6.8285 6.8285
angles (deg): 90.00 90.00 90.00
Last column: nearest neighbours and their distance in Å.
Fractional coordinates of all 16 atoms:
K: 0.0000 0.0000 0.0000  8 Ru 2.96
K: 0.0000 0.5000 0.5000  8 Ru 2.96
K: 0.5000 0.0000 0.5000  8 Ru 2.96
K: 0.5000 0.5000 0.0000  8 Ru 2.96
Tl: 0.0000 0.0000 0.5000  8 Ru 2.96
Tl: 0.0000 0.5000 0.0000  8 Ru 2.96
Tl: 0.5000 0.0000 0.0000  8 Ru 2.96
Tl: 0.5000 0.5000 0.5000  8 Ru 2.96
Ru: 0.2500 0.2500 0.2500  4 K 2.96, 4 Tl 2.96
Ru: 0.2500 0.2500 0.7500  4 Tl 2.96, 4 K 2.96
Ru: 0.2500 0.7500 0.2500  4 Tl 2.96, 4 K 2.96
Ru: 0.2500 0.7500 0.7500  4 K 2.96, 4 Tl 2.96
Ru: 0.7500 0.2500 0.2500  4 Tl 2.96, 4 K 2.96
Ru: 0.7500 0.2500 0.7500  4 K 2.96, 4 Tl 2.96
Ru: 0.7500 0.7500 0.2500  4 K 2.96, 4 Tl 2.96
Ru: 0.7500 0.7500 0.7500  4 Tl 2.96, 4 K 2.96

## Properties
- Calculated total energy: -4.19 eV per atom
- Magnetic moment: 11.15 μB/cell
- ΔE to the lowest computed polymorph: 825.2 meV/atom

=====

# 10
Crystalline K2Tl2Ru at its relaxed geometry, computed with PBE-GGA.

a b c (Å): 7.3330 7.3330 6.1028
angles (deg): 90.00 90.00 90.00
Last column: nearest neighbours and their distance in Å.
Fractional coordinates of all 10 atoms:
K: 0.1745 0.3255 0.0000  2 Tl 3.40, 1 K 3.62
K: 0.3255 0.8255 0.0000  2 Tl 3.40, 1 K 3.62
K: 0.6745 0.1745 0.0000  2 Tl 3.40, 1 K 3.62
K: 0.8255 0.6745 0.0000  2 Tl 3.40, 1 K 3.62
Tl: 0.1809 0.6809 0.5000  2 Ru 2.69
Tl: 0.3191 0.1809 0.5000  2 Ru 2.69
Tl: 0.6809 0.8191 0.5000  2 Ru 2.69
Tl: 0.8191 0.3191 0.5000  2 Ru 2.69
Ru: 0.0000 0.0000 0.5000  4 Tl 2.69
Ru: 0.5000 0.5000 0.5000  4 Tl 2.69

## Properties
- Calculated total energy: -2.88 eV per atom
- Magnetic moment: 0.00 μB/cell

=====

# 11
Crystalline KTlRu2 at its relaxed geometry, computed with PBE-GGA.

a b c (Å): 8.1794 2.9551 8.0074
angles (deg): 90.00 95.52 90.00
Last column: nearest neighbours and their distance in Å.
Fractional coordinates of all 8 atoms:
K: 0.0000 0.0000 0.0000  2 K 2.96
K: 0.5000 0.5000 0.0000  2 K 2.96
Tl: 0.2355 0.0000 0.6493  5 Ru 2.95-3.10, 2 Tl 2.96
Tl: 0.7355 0.5000 0.6493  5 Ru 2.95-3.10, 2 Tl 2.96
Ru: 0.0006 0.5000 0.4143  3 Ru 2.36-2.52
Ru: 0.2618 0.5000 0.3131  3 Ru 2.36-2.52
Ru: 0.5006 0.0000 0.4143  3 Ru 2.36-2.52
Ru: 0.7618 0.0000 0.3131  3 Ru 2.36-2.52

## Properties
- Calculated total energy: -4.95 eV per atom
- Magnetic moment: 0.00 μB/cell
- ΔE to the lowest computed polymorph: 68.2 meV/atom

=====

# 12
Crystalline KTlRu3 at its relaxed geometry, computed with PBE-GGA.

a b c (Å): 5.1483 5.1483 5.1483
angles (deg): 90.00 90.00 90.00
Last column: nearest neighbours and their distance in Å.
Fractional coordinates of all 5 atoms:
K: 0.0000 0.0000 0.0000  12 Ru 3.64
Tl: 0.5000 0.5000 0.5000  6 Ru 2.57
Ru: 0.0000 0.5000 0.5000  2 Tl 2.57
Ru: 0.5000 0.0000 0.5000  2 Tl 2.57
Ru: 0.5000 0.5000 0.0000  2 Tl 2.57

## Properties
- Calculated total energy: -4.25 eV per atom
- Magnetic moment: 5.75 μB/cell
- ΔE to the lowest computed polymorph: 0.0 meV/atom

=====

# 13
Crystalline KTlRu2 at its relaxed geometry, computed with PBE-GGA.

a b c (Å): 3.5772 3.5772 7.4220
angles (deg): 90.00 90.00 90.00
Last column: nearest neighbours and their distance in Å.
Fractional coordinates of all 4 atoms:
K: 0.0000 0.0000 0.0000  8 Ru 3.54, 4 K 3.58, 2 Tl 3.71
Tl: 0.0000 0.0000 0.5000  8 Ru 2.82
Ru: 0.5000 0.5000 0.3328  1 Ru 2.48
Ru: 0.5000 0.5000 0.6672  1 Ru 2.48

## Properties
- Calculated total energy: -4.46 eV per atom
- Magnetic moment: 2.57 μB/cell
- ΔE to the lowest computed polymorph: 553.0 meV/atom

=====

# 14
Crystalline K4TlRu at its relaxed geometry, computed with PBE-GGA.

a b c (Å): 6.9926 6.9926 6.9926
angles (deg): 60.00 60.00 60.00
Last column: nearest neighbours and their distance in Å.
Fractional coordinates of all 6 atoms:
K: 0.1238 0.1238 0.1238  6 K 3.46-3.53
K: 0.1238 0.1238 0.6285  6 K 3.46-3.53
K: 0.1238 0.6285 0.1238  6 K 3.46-3.53
K: 0.6285 0.1238 0.1238  6 K 3.46-3.53
Tl: 0.5000 0.5000 0.5000  12 K 4.10, 4 Ru 4.28
Ru: 0.7500 0.7500 0.7500  12 K 4.10, 4 Tl 4.28

## Properties
- Calculated total energy: -1.72 eV per atom
- Magnetic moment: 1.93 μB/cell

=====

# 15
Crystalline KTlRu2 at its relaxed geometry, computed with PBE-GGA.

a b c (Å): 4.2490 4.2490 9.0629
angles (deg): 90.00 90.00 90.00
Last column: nearest neighbours and their distance in Å.
Fractional coordinates of all 8 atoms:
K: 0.0000 0.0000 0.0000  4 Tl 3.00, 8 Ru 3.11
K: 0.5000 0.5000 0.5000  4 Tl 3.00, 8 Ru 3.11
Tl: 0.0000 0.0000 0.5000  4 K 3.00, 8 Ru 3.11
Tl: 0.5000 0.5000 0.0000  4 K 3.00, 8 Ru 3.11
Ru: 0.0000 0.5000 0.2500  4 Ru 3.00, 4 Tl 3.11, 4 K 3.11
Ru: 0.0000 0.5000 0.7500  4 Ru 3.00, 4 Tl 3.11, 4 K 3.11
Ru: 0.5000 0.0000 0.2500  4 Ru 3.00, 4 Tl 3.11, 4 K 3.11
Ru: 0.5000 0.0000 0.7500  4 Ru 3.00, 4 Tl 3.11, 4 K 3.11

## Properties
- Calculated total energy: -4.25 eV per atom
- Magnetic moment: 6.19 μB/cell
- ΔE to the lowest computed polymorph: 765.1 meV/atom